[1]
KPbAu2: optimized geometry, GGA-PBE.

The structure in extended XYZ format:
```
4
Lattice="3.592 0.000 0.000 0.000 4.010 0.000 0.000 0.000 7.586" Properties=species:S:1:pos:R:3 pbc="T T T"
K 0.000 0.000 0.000
Pb 0.000 0.000 3.793
Au 1.796 2.005 2.233
Au 1.796 2.005 5.353
```

Summary:
- symmetry = Pmmm (47)
- size of the total moment (μB/cell) = 0.000
- calculated total energy (eV/atom) = -2.96

***

[2]
K3PbAu4: optimized geometry, GGA-PBE.

The structure in extended XYZ format:
```
32
Lattice="13.624 0.000 0.000 0.000 9.400 0.000 0.000 0.000 8.169" Properties=species:S:1:pos:R:3 pbc="T T T"
K 0.798 2.350 1.688
K 2.211 5.006 4.436
K 2.211 9.095 4.436
K 4.601 0.306 0.351
K 4.601 4.395 0.351
K 6.014 7.050 5.772
K 7.610 2.350 2.397
K 9.023 5.006 7.818
K 9.023 9.095 7.818
K 11.412 0.306 3.733
K 11.412 4.395 3.733
K 12.826 7.050 6.481
Pb 1.812 7.050 1.116
Pb 5.000 2.350 5.201
Pb 8.624 7.050 2.968
Pb 11.812 2.350 7.053
Au 0.194 2.350 5.014
Au 1.368 4.725 7.701
Au 1.368 9.376 7.701
Au 2.454 2.350 6.664
Au 4.358 7.050 2.580
Au 5.444 0.024 3.616
Au 5.444 4.676 3.616
Au 6.618 7.050 0.930
Au 7.005 2.350 7.239
Au 8.180 4.725 4.553
Au 8.180 9.376 4.553
Au 9.266 2.350 5.589
Au 11.170 7.050 1.505
Au 12.255 0.024 0.468
Au 12.255 4.676 0.468
Au 13.430 7.050 3.155
```

Summary:
- symmetry = Pnma (62)
- size of the total moment (μB/cell) = 0.000
- calculated total energy (eV/atom) = -2.73

***

[3]
K12Pb3Au5: optimized geometry, GGA-PBE.

The structure in extended XYZ format:
```
80
Lattice="-10.097 10.097 10.097 10.097 -10.097 10.097 10.097 10.097 -10.097" Properties=species:S:1:pos:R:3 pbc="T T T"
K 3.064 -0.418 1.357
K 12.081 6.405 -5.466
K 9.679 -1.357 3.064
K 15.563 -1.984 3.692
K 13.161 0.418 1.357
K 12.081 -3.692 5.466
K 1.357 3.064 -0.418
K 13.789 4.631 -1.984
K 6.405 5.466 -1.984
K 8.740 3.064 0.418
K -0.418 1.357 3.064
K 5.466 -1.984 6.405
K 9.679 8.740 -3.064
K 5.466 1.984 3.692
K 8.740 -3.064 9.679
K 6.405 -5.466 12.081
K 3.692 5.466 1.984
K 11.454 7.033 0.418
K 3.064 9.679 -1.357
K 12.081 3.692 4.631
K 5.466 12.081 -3.692
K 9.679 1.357 7.033
K 1.984 3.692 5.466
K 3.064 0.418 8.740
K 7.033 9.679 1.357
K 8.113 6.405 4.631
K 0.418 8.740 3.064
K 4.631 -1.984 13.789
K -1.984 6.405 5.466
K 7.033 0.418 11.454
K -1.357 3.064 9.679
K 6.405 4.631 8.113
K 3.692 15.563 -1.984
K 1.357 13.161 0.418
K 4.631 8.113 6.405
K 0.418 1.357 13.161
K 4.631 12.081 3.692
K 10.515 8.740 7.033
K 1.357 7.033 9.679
K 3.692 4.631 12.081
K -3.692 5.466 12.081
K 8.740 7.033 10.515
K -1.984 13.789 4.631
K -3.064 9.679 8.740
K -5.466 12.081 6.405
K 0.418 11.454 7.033
K -1.984 3.692 15.563
K 7.033 10.515 8.740
Pb 5.048 2.524 0.000
Pb 10.097 5.048 -2.524
Pb 2.524 0.000 5.048
Pb 12.621 0.000 5.048
Pb 0.000 5.048 2.524
Pb 5.048 -2.524 10.097
Pb 5.048 12.621 0.000
Pb 10.097 5.048 7.573
Pb -2.524 10.097 5.048
Pb 7.573 10.097 5.048
Pb 0.000 5.048 12.621
Pb 5.048 7.573 10.097
Au 0.000 0.000 0.000
Au 5.048 5.048 -5.048
Au 5.048 -5.048 5.048
Au 10.097 0.000 0.000
Au 15.145 2.524 0.000
Au 10.097 -5.048 7.573
Au 7.573 10.097 -5.048
Au 7.573 0.000 5.048
Au 5.048 7.573 0.000
Au 10.097 5.048 2.524
Au -5.048 5.048 5.048
Au 0.000 10.097 0.000
Au 0.000 0.000 10.097
Au 5.048 5.048 5.048
Au 0.000 5.048 7.573
Au 5.048 2.524 10.097
Au 2.524 10.097 5.048
Au 2.524 0.000 15.145
Au 0.000 15.145 2.524
Au -5.048 7.573 10.097
```

Summary:
- symmetry = Ia-3d (230)
- size of the total moment (μB/cell) = 20.379
- calculated total energy (eV/atom) = -2.10

***

[4]
KPb2Au2: optimized geometry, GGA-PBE.

The structure in extended XYZ format:
```
10
Lattice="5.333 0.000 0.000 0.000 4.935 0.000 -1.045 0.000 11.195" Properties=species:S:1:pos:R:3 pbc="T T T"
K 0.936 1.234 2.770
K 3.352 3.701 8.425
Pb 0.789 3.701 5.508
Pb 0.840 1.234 10.014
Pb 3.448 3.701 1.181
Pb 3.498 1.234 5.688
Au 0.806 3.701 0.051
Au 0.830 1.234 7.096
Au 3.458 3.701 4.099
Au 3.481 1.234 11.144
```

Summary:
- symmetry = P2_1/m (11)
- size of the total moment (μB/cell) = 0.000
- distance to the lowest polymorph of the same formula (eV/atom) = 0.000
- calculated total energy (eV/atom) = -3.23

***

[5]
KPb8Au2: optimized geometry, GGA-PBE.

The structure in extended XYZ format:
```
11
Lattice="4.582 -6.706 0.000 4.582 6.706 0.000 -1.272 0.000 5.535" Properties=species:S:1:pos:R:3 pbc="T T T"
K 0.000 0.000 0.000
Pb 1.117 1.777 3.387
Pb 4.582 3.231 0.000
Pb 1.117 -1.777 3.387
Pb 3.274 0.000 1.013
Pb 4.619 0.000 4.522
Pb 6.775 1.777 2.148
Pb 4.582 -3.231 0.000
Pb 6.775 -1.777 2.148
Au 3.946 2.372 2.768
Au 3.946 -2.372 2.768
```

Summary:
- symmetry = C2/m (12)
- size of the total moment (μB/cell) = 0.000
- distance to the lowest polymorph of the same formula (eV/atom) = 0.000
- calculated total energy (eV/atom) = -3.41

***

[6]
KPb2Au2: optimized geometry, GGA-PBE.

The structure in extended XYZ format:
```
10
Lattice="9.039 0.000 0.000 0.000 9.039 0.000 0.000 0.000 3.316" Properties=species:S:1:pos:R:3 pbc="T T T"
K 0.000 0.000 0.000
K 4.520 4.520 0.000
Pb 1.239 3.280 0.000
Pb 3.280 7.800 0.000
Pb 5.759 1.239 0.000
Pb 7.800 5.759 0.000
Au 1.420 5.940 1.658
Au 3.099 1.420 1.658
Au 5.940 7.619 1.658
Au 7.619 3.099 1.658
```

Summary:
- symmetry = P4/mbm (127)
- size of the total moment (μB/cell) = 0.000
- distance to the lowest polymorph of the same formula (eV/atom) = 0.100
- calculated total energy (eV/atom) = -3.13

***

[7]
K11PbAu2: optimized geometry, GGA-PBE.

The structure in extended XYZ format:
```
28
Lattice="-6.441 8.050 8.406 6.441 -8.050 8.406 6.441 8.050 -8.406" Properties=species:S:1:pos:R:3 pbc="T T T"
K 0.000 0.000 0.000
K 7.769 2.990 -2.518
K 9.318 -0.970 2.208
K 7.769 -2.990 5.889
K 3.565 0.970 2.208
K 4.768 -4.561 8.406
K 4.768 4.561 0.000
K 3.565 -0.970 6.198
K 7.769 2.990 2.518
K 2.876 9.020 -2.208
K 1.328 5.060 2.518
K 0.000 0.000 8.406
K 5.114 2.990 5.889
K 3.565 -0.970 10.615
K -1.328 5.060 5.889
K 2.876 9.020 2.208
K 1.673 3.489 8.406
K 1.673 12.611 0.000
K 2.876 7.080 6.198
K -1.328 11.040 2.518
K -2.876 9.020 6.198
K -1.328 5.060 10.924
Pb 6.441 0.000 4.203
Pb 0.000 8.050 4.203
Au 1.816 2.874 0.000
Au 8.258 5.176 0.000
Au -1.816 2.874 8.406
Au 4.625 5.176 8.406
```

Summary:
- symmetry = Ibam (72)
- size of the total moment (μB/cell) = 0.000
- calculated total energy (eV/atom) = -1.68

***

[8]
K2PbAu2: optimized geometry, GGA-PBE.

The structure in extended XYZ format:
```
5
Lattice="-2.246 3.315 5.360 2.246 -3.315 5.360 2.246 3.315 -5.360" Properties=species:S:1:pos:R:3 pbc="T T T"
K 0.000 0.000 2.198
K 0.000 0.000 8.522
Pb 0.000 3.315 0.000
Au 2.246 1.411 0.000
Au 0.000 1.904 5.360
```

Summary:
- symmetry = Immm (71)
- size of the total moment (μB/cell) = 0.000
- distance to the lowest polymorph of the same formula (eV/atom) = 0.043
- calculated total energy (eV/atom) = -2.75

***

calculated total energy of number 2 (K3PbAu4)?
-2.73 eV/atom

***

Look up the size of the total moment of the first one.
0.000 μB/cell

***

Among the records above, which one has the highest calculated total energy?
K11PbAu2